A geometry-optimized PuMnO3 structure. Source: Alexandria via LeMat-Bulk, functional PBE with a Hubbard U.

Structure (CIF):
```
data_PuMnO3
_cell_length_a 8.361
_cell_length_b 8.169
_cell_length_c 8.285
_cell_angle_alpha 90.00
_cell_angle_beta 90.00
_cell_angle_gamma 90.00
_symmetry_space_group_name_H-M 'C m c m'
_symmetry_Int_Tables_number 63
_symmetry_space_group_name_Hall '-C 2c 2'
loop_
_atom_site_label
_atom_site_type_symbol
_atom_site_fract_x
_atom_site_fract_y
_atom_site_fract_z
Pu1 Pu 0.250 0.250 0.000
Mn1 Mn 0.000 0.016 0.250
Mn2 Mn 0.000 0.450 0.250
O1 O 0.000 0.167 0.573
O2 O 0.157 0.500 0.000
O3 O 0.160 0.229 0.250
```

Output
E_tot = -385.813 eV for the cell shown
Total magnetic moment = 72.000 μB per cell